{
  "formula": "LaAlSb",
  "functional": "GGA-PBE",
  "state": "optimized geometry",
  "formation_energy_uncorrected_ev_per_atom": -0.30,
  "magmom_total_mub_per_atom": 0.000,
  "space_group": "F-43m (216)",
  "lattice": [[0.000, 3.524, 3.524], [3.524, 0.000, 3.524], [3.524, 3.524, 0.000]],
  "species": ["La", "Al", "Sb"],
  "fractional_positions": [[0.000, 0.000, 0.000], [0.750, 0.750, 0.750], [0.500, 0.500, 0.500]]
}

***

{
  "formula": "Tb3Ge3Ir",
  "functional": "GGA-PBE",
  "state": "optimized geometry",
  "delta_e_f_ev_per_atom": -0.899,
  "magmom_total_mub_per_atom": 0.000,
  "space_group": "C2/m (12)",
  "lattice": [[5.328, -2.150, 0.000], [5.328, 2.150, 0.000], [-4.745, 0.000, 13.238]],
  "species": ["Tb", "Tb", "Tb", "Tb", "Tb", "Tb", "Ge", "Ge", "Ge", "Ge", "Ge", "Ge", "Ir", "Ir"],
  "fractional_positions": [[0.030, 0.030, 0.379], [0.102, 0.102, 0.922], [0.243, 0.243, 0.234], [0.757, 0.757, 0.766], [0.898, 0.898, 0.078], [0.970, 0.970, 0.621], [0.360, 0.360, 0.463], [0.382, 0.382, 0.926], [0.467, 0.467, 0.769], [0.533, 0.533, 0.231], [0.618, 0.618, 0.074], [0.640, 0.640, 0.537], [0.251, 0.251, 0.612], [0.749, 0.749, 0.388]]
}

***

{
  "formula": "NaV2SbMo",
  "functional": "GGA-PBE",
  "state": "optimized geometry",
  "formation_energy_uncorrected_ev_per_atom": 0.88,
  "magmom_total_mub_per_atom": 0.880,
  "space_group": "P4/mmm (123)",
  "lattice": [[4.840, 0.000, 0.000], [0.000, 4.840, 0.000], [0.000, 0.000, 5.208]],
  "species": ["Na", "V", "V", "Sb", "Mo"],
  "fractional_positions": [[0.000, 0.000, 0.000], [0.000, 0.500, 0.500], [0.500, 0.000, 0.500], [0.500, 0.500, 0.000], [0.500, 0.500, 0.500]]
}

***

{
  "formula": "CdFe2Os2",
  "functional": "GGA-PBE",
  "state": "optimized geometry",
  "delta_e_f_ev_per_atom": 0.409,
  "de_polymorph_mev_per_atom": 5,
  "magmom_total_mub_per_atom": 0.000,
  "space_group": "P4/mbm (127)",
  "lattice": [[7.290, 0.000, 0.000], [0.000, 7.290, 0.000], [0.000, 0.000, 2.656]],
  "species": ["Cd", "Cd", "Fe", "Fe", "Fe", "Fe", "Os", "Os", "Os", "Os"],
  "fractional_positions": [[0.000, 0.000, 0.000], [0.500, 0.500, 0.000], [0.119, 0.381, 0.000], [0.381, 0.881, 0.000], [0.619, 0.119, 0.000], [0.881, 0.619, 0.000], [0.169, 0.669, 0.500], [0.331, 0.169, 0.500], [0.669, 0.831, 0.500], [0.831, 0.331, 0.500]]
}

***

{
  "formula": "Gd2CuSn",
  "functional": "GGA-PBE",
  "state": "optimized geometry",
  "delta_e_f_ev_per_atom": 0.088,
  "magmom_total_mub_per_atom": 3.862,
  "space_group": "R-3m (166)",
  "lattice": [[1.802, 1.040, 10.253], [-1.802, 1.040, 10.253], [0.000, -2.080, 10.253]],
  "species": ["Gd", "Gd", "Cu", "Sn"],
  "fractional_positions": [[0.102, 0.102, 0.102], [0.898, 0.898, 0.898], [0.500, 0.500, 0.500], [0.000, 0.000, 0.000]]
}

***

{
  "formula": "BiH2Au",
  "functional": "GGA-PBE",
  "state": "optimized geometry",
  "de_polymorph_mev_per_atom": 351,
  "magmom_total_mub_per_atom": 0.000,
  "space_group": "Fm-3m (225)",
  "lattice": [[0.000, 3.032, 3.032], [3.032, 0.000, 3.032], [3.032, 3.032, 0.000]],
  "species": ["Bi", "H", "H", "Au"],
  "fractional_positions": [[0.000, 0.000, 0.000], [0.250, 0.250, 0.250], [0.750, 0.750, 0.750], [0.500, 0.500, 0.500]]
}